# 1
Entry from the Alexandria database: an optimized crystal structure of FeRe2HgAu (PBE-GGA).

The structure in CIF format:
```
data_FeRe2HgAu
_space_group_name_H-M_alt 'P 4/m m m'
_space_group_IT_number 123
_space_group_name_Hall '-P 4 2'
_cell_length_a 4.432
_cell_length_b 4.432
_cell_length_c 4.847
_cell_angle_alpha 90.00
_cell_angle_beta 90.00
_cell_angle_gamma 90.00
loop_
_atom_site_label
_atom_site_type_symbol
_atom_site_fract_x
_atom_site_fract_y
_atom_site_fract_z
Fe1 Fe 0.000 0.000 0.000
Re1 Re 0.000 0.500 0.000
Hg1 Hg 0.000 0.000 0.500
Au1 Au 0.500 0.500 0.500
```

Output
total magnetization	1.377	μB per formula unit
energy above the lowest structure with this stoichiometry	0.00	eV/f.u.
density of states at the Fermi level	1.01	states/eV/atom
formation energy	1.5183	eV per atom

---

# 2
Entry from the Alexandria database: an optimized crystal structure of SmThGaOs (PBE-GGA).

The structure in CIF format:
```
data_SmThGaOs
_space_group_name_H-M_alt 'A m m 2'
_space_group_IT_number 38
_cell_length_a 3.949
_cell_length_b 4.204
_cell_length_c 11.659
_cell_angle_alpha 90.00
_cell_angle_beta 90.00
_cell_angle_gamma 90.00
loop_
_space_group_symop_operation_xyz
'x,y,z'
'-x,-y,z'
'-x,y,z'
'x,-y,z'
'x,y+1/2,z+1/2'
'-x,-y+1/2,z+1/2'
'-x,y+1/2,z+1/2'
'x,-y+1/2,z+1/2'
loop_
_atom_site_label
_atom_site_type_symbol
_atom_site_fract_x
_atom_site_fract_y
_atom_site_fract_z
Sm1 Sm 0.000 0.000 0.000
Th1 Th 0.500 0.000 0.277
Ga1 Ga 0.500 0.000 0.578
Os1 Os 0.000 0.000 0.733
```

Output
total magnetization	0.000	μB per formula unit
energy above the lowest structure with this stoichiometry	0.00	eV/f.u.
density of states at the Fermi level	0.91	states/eV/atom
formation energy	-0.4586	eV per atom